(1)
First-principles (GGA-PBE) data for an optimized crystal structure of Si2MoPdI, as listed in Alexandria via LeMat-Bulk.

The structure in extended XYZ format:
```
5
Lattice="4.603 0.000 0.000 0.000 4.603 0.000 0.000 0.000 5.892" Properties=species:S:1:pos:R:3 pbc="T T T"
Si 0.000 2.302 0.000
Si 2.302 0.000 0.000
Mo 0.000 0.000 2.946
Pd 2.302 2.302 0.000
I 2.302 2.302 2.946
```

Output
Magnetic moment, μB per cell: 4.3
Uncorrected formation energy, eV/atom: 1.15

***

(2)
First-principles (GGA-PBE) data for an optimized crystal structure of CsAgSbCl6, as listed in Alexandria via LeMat-Bulk.

The structure in extended XYZ format:
```
9
Lattice="7.068 0.000 0.000 -3.534 6.121 0.000 0.000 0.000 7.597" Properties=species:S:1:pos:R:3 pbc="T T T"
Cs 0.000 0.000 0.000
Ag 3.534 2.040 3.799
Sb 0.000 4.081 3.799
Cl -1.192 2.370 2.319
Cl -2.077 3.904 5.278
Cl 1.192 2.370 5.278
Cl -0.885 5.968 2.319
Cl 2.077 3.904 2.319
Cl 0.885 5.968 5.278
```

Output
Magnetic moment, μB per cell: 0.6
Uncorrected formation energy, eV/atom: -0.97

***

(3)
First-principles (GGA-PBE) data for an optimized crystal structure of LaSnAu3, as listed in Alexandria via LeMat-Bulk.

The structure in extended XYZ format:
```
10
Lattice="9.705 -2.380 0.000 9.705 2.380 0.000 -0.005 0.000 5.242" Properties=species:S:1:pos:R:3 pbc="T T T"
La 2.058 0.000 0.003
La 17.348 0.000 5.238
Sn 7.129 0.000 2.638
Sn 12.276 0.000 2.603
Au 3.973 0.000 2.642
Au 5.623 0.000 0.031
Au 9.693 0.000 1.308
Au 9.712 0.000 3.934
Au 13.783 0.000 5.211
Au 15.433 0.000 2.600
```

Output
Energy of formation from the pure elements, eV per atom: -0.53
Magnetic moment, μB per cell: 0.0
Relative energy among the computed polymorphs, eV per formula unit: 0.21

***

(4)
First-principles (GGA-PBE) data for an optimized crystal structure of BaInTcP, as listed in Alexandria via LeMat-Bulk.

The structure in extended XYZ format:
```
8
Lattice="4.172 0.000 0.000 0.000 4.172 0.000 0.000 0.000 12.317" Properties=species:S:1:pos:R:3 pbc="T T T"
Ba 1.043 1.043 2.846
Ba 3.129 3.129 9.471
In 1.043 3.129 6.158
In 3.129 1.043 6.158
Tc 1.043 3.129 0.000
Tc 3.129 1.043 0.000
P 1.043 1.043 11.157
P 3.129 3.129 1.160
```

Output
Energy of formation from the pure elements, eV per atom: -0.55
Magnetic moment, μB per cell: 0.0

***

(5)
First-principles (GGA-PBE) data for an optimized crystal structure of Sm5Ho4Er2, as listed in Alexandria via LeMat-Bulk.

The structure in extended XYZ format:
```
11
Lattice="-1.752 4.529 11.689 1.752 -4.529 11.689 1.752 4.529 -11.689" Properties=species:S:1:pos:R:3 pbc="T T T"
Sm 0.000 0.000 0.000
Sm 1.752 1.817 -3.418
Sm 1.752 1.817 3.418
Sm 0.000 2.713 8.271
Sm 0.000 2.713 15.106
Ho 1.752 2.824 0.000
Ho 1.752 0.000 9.423
Ho 0.000 4.529 2.265
Ho 0.000 1.706 11.689
Er 1.752 0.000 6.299
Er 0.000 4.529 5.389
```

Output
Energy of formation from the pure elements, eV per atom: 0.21
Magnetic moment, μB per cell: 0.0
Relative energy among the computed polymorphs, eV per formula unit: 0.39

***

(6)
First-principles (GGA-PBE) data for an optimized crystal structure of Ba2LiCa, as listed in Alexandria via LeMat-Bulk.

The structure in extended XYZ format:
```
4
Lattice="7.410 -2.173 0.000 7.410 2.173 0.000 -2.929 0.000 5.941" Properties=species:S:1:pos:R:3 pbc="T T T"
Ba 0.000 0.000 0.000
Ba 1.000 0.000 4.184
Li 10.107 0.000 1.326
Ca 5.035 0.000 2.518
```

Output
Energy of formation from the pure elements, eV per atom: 0.05
Magnetic moment, μB per cell: 0.0
Relative energy among the computed polymorphs, eV per formula unit: 0.09

***

(7)
First-principles (GGA-PBE) data for an optimized crystal structure of Ba2WCl, as listed in Alexandria via LeMat-Bulk.

The structure in extended XYZ format:
```
4
Lattice="3.916 -1.990 0.000 3.916 1.990 0.000 -2.053 0.000 8.955" Properties=species:S:1:pos:R:3 pbc="T T T"
Ba 1.407 0.000 2.286
Ba 4.371 0.000 6.670
W -1.026 0.000 4.478
Cl 3.916 0.000 0.000
```

Output
Magnetic moment, μB per cell: 2.8
Relative energy among the computed polymorphs, eV per formula unit: 0.20
Uncorrected formation energy, eV/atom: 0.20

***

(8)
First-principles (GGA-PBE) data for an optimized crystal structure of CdIn12Pb16, as listed in Alexandria via LeMat-Bulk.

The structure in extended XYZ format:
```
29
Lattice="5.974 -8.310 0.000 5.974 8.310 0.000 -5.244 0.000 8.670" Properties=species:S:1:pos:R:3 pbc="T T T"
Cd 0.000 0.000 0.000
In -2.451 0.000 4.476
In -0.329 1.574 2.844
In 1.888 3.178 4.373
In -2.272 0.000 7.648
In -0.329 -1.574 2.844
In 2.165 3.211 7.565
In 5.391 1.582 0.539
In 4.277 1.575 5.832
In 1.888 -3.178 4.373
In 5.391 -1.582 0.539
In 4.277 -1.575 5.832
In 2.165 -3.211 7.565
Pb -1.045 2.891 6.122
Pb 1.557 6.144 6.005
Pb 2.231 2.632 0.883
Pb -0.545 5.205 8.636
Pb 5.004 3.470 3.200
Pb 0.928 0.000 6.021
Pb 2.745 0.000 3.089
Pb 2.231 -2.632 0.883
Pb -1.045 -2.891 6.122
Pb 8.325 2.471 2.439
Pb 6.150 0.000 3.501
Pb -0.545 -5.205 8.636
Pb 3.397 0.000 8.665
Pb 5.004 -3.470 3.200
Pb 1.557 -6.144 6.005
Pb 8.325 -2.471 2.439
```

Output
Energy of formation from the pure elements, eV per atom: 0.03
Magnetic moment, μB per cell: 0.0

***

(9)
First-principles (GGA-PBE) data for an optimized crystal structure of MgZrCd2, as listed in Alexandria via LeMat-Bulk.

The structure in extended XYZ format:
```
4
Lattice="3.245 0.000 0.000 0.000 3.245 0.000 0.000 0.000 8.091" Properties=species:S:1:pos:R:3 pbc="T T T"
Mg 0.000 0.000 0.000
Zr 0.000 0.000 4.045
Cd 1.623 1.623 1.952
Cd 1.623 1.623 6.138
```

Output
Energy of formation from the pure elements, eV per atom: -0.14
Magnetic moment, μB per cell: 0.0

***

(10)
First-principles (GGA-PBE) data for an optimized crystal structure of Tm3BiPd12, as listed in Alexandria via LeMat-Bulk.

The structure in extended XYZ format:
```
16
Lattice="4.103 0.000 0.000 0.000 4.103 0.000 0.000 0.000 16.432" Properties=species:S:1:pos:R:3 pbc="T T T"
Tm 0.000 0.000 0.000
Tm 0.000 0.000 4.040
Tm 0.000 0.000 12.392
Bi 0.000 0.000 8.216
Pd 0.000 2.051 2.048
Pd 0.000 2.051 6.144
Pd 0.000 2.051 10.288
Pd 0.000 2.051 14.384
Pd 2.051 0.000 2.048
Pd 2.051 0.000 6.144
Pd 2.051 0.000 10.288
Pd 2.051 0.000 14.384
Pd 2.051 2.051 0.000
Pd 2.051 2.051 4.133
Pd 2.051 2.051 8.216
Pd 2.051 2.051 12.299
```

Output
Energy of formation from the pure elements, eV per atom: -0.75
Magnetic moment, μB per cell: 0.0

***

(11)
First-principles (GGA-PBE) data for an optimized crystal structure of HgHPb2Br, as listed in Alexandria via LeMat-Bulk.

The structure in extended XYZ format:
```
5
Lattice="4.793 0.000 0.000 0.000 4.793 0.000 0.000 0.000 5.457" Properties=species:S:1:pos:R:3 pbc="T T T"
Hg 0.000 0.000 0.000
H 2.397 2.397 2.728
Pb 0.000 2.397 2.728
Pb 2.397 0.000 2.728
Br 2.397 2.397 0.000
```

Output
Magnetic moment, μB per cell: 0.0
Total DFT energy (no corrections), eV/atom: -2.42

***

(12)
First-principles (GGA-PBE) data for an optimized crystal structure of Al2NiIr, as listed in Alexandria via LeMat-Bulk.

The structure in extended XYZ format:
```
4
Lattice="4.284 0.000 0.000 0.000 2.860 0.000 -1.674 0.000 4.432" Properties=species:S:1:pos:R:3 pbc="T T T"
Al 0.000 0.000 0.000
Al -0.837 1.430 2.216
Ni 1.305 0.000 2.216
Ir 2.142 1.430 0.000
```

Output
Energy of formation from the pure elements, eV per atom: -0.52
Magnetic moment, μB per cell: 0.0

***

(13)
First-principles (GGA-PBE) data for an optimized crystal structure of TlCoAg2, as listed in Alexandria via LeMat-Bulk.

The structure in extended XYZ format:
```
4
Lattice="4.717 -1.491 0.000 4.717 1.491 0.000 -1.049 0.000 5.125" Properties=species:S:1:pos:R:3 pbc="T T T"
Tl 0.000 0.000 0.000
Co 6.802 0.000 1.097
Ag 1.485 0.000 3.567
Ag 4.022 0.000 2.425
```

Output
Energy of formation from the pure elements, eV per atom: 0.43
Magnetic moment, μB per cell: 1.4
Relative energy among the computed polymorphs, eV per formula unit: 0.30

***

(14)
First-principles (GGA-PBE) data for an optimized crystal structure of RbPd, as listed in Alexandria via LeMat-Bulk.

The structure in extended XYZ format:
```
8
Lattice="0.000 4.837 8.060 3.126 0.000 8.060 3.126 4.837 0.000" Properties=species:S:1:pos:R:3 pbc="T T T"
Rb 2.344 0.436 6.045
Rb 3.907 2.854 10.075
Rb 2.344 6.820 6.045
Rb 3.907 9.238 10.075
Pd 2.344 3.628 4.716
Pd 2.344 3.628 7.374
Pd 3.907 6.046 8.745
Pd 3.907 6.046 11.404
```

Output
Energy of formation from the pure elements, eV per atom: 0.24
Magnetic moment, μB per cell: 0.0

***

(15)
First-principles (GGA-PBE) data for an optimized crystal structure of PuMgAg2S4, as listed in Alexandria via LeMat-Bulk.

The structure in extended XYZ format:
```
8
Lattice="6.515 0.000 0.000 0.000 3.959 0.000 -2.323 0.000 6.259" Properties=species:S:1:pos:R:3 pbc="T T T"
Pu 0.000 0.000 0.000
Mg -1.162 1.979 3.130
Ag 2.096 0.000 3.130
Ag 3.258 1.979 0.000
S -0.197 0.000 4.616
S 0.967 1.979 1.569
S 3.225 1.979 4.690
S 4.389 0.000 1.643
```

Output
Magnetic moment, μB per cell: 4.0
Uncorrected formation energy, eV/atom: -0.85

***

(16)
First-principles (GGA-PBE) data for an optimized crystal structure of CuBOF2, as listed in Alexandria via LeMat-Bulk.

The structure in extended XYZ format:
```
5
Lattice="4.174 0.000 0.000 0.000 4.174 0.000 0.000 0.000 2.646" Properties=species:S:1:pos:R:3 pbc="T T T"
Cu 0.000 0.000 0.000
B 2.087 2.087 1.323
O 2.087 2.087 0.000
F 0.000 2.087 1.323
F 2.087 0.000 1.323
```

Output
Magnetic moment, μB per cell: 0.0
Relative energy among the computed polymorphs, eV per formula unit: 0.00
Uncorrected formation energy, eV/atom: -1.26

***

(17)
First-principles (GGA-PBE) data for an optimized crystal structure of HgPbSe2, as listed in Alexandria via LeMat-Bulk.

The structure in extended XYZ format:
```
4
Lattice="4.327 0.000 0.000 0.000 4.327 0.000 0.000 0.000 5.494" Properties=species:S:1:pos:R:3 pbc="T T T"
Hg 0.000 0.000 0.000
Pb 2.163 2.163 0.000
Se 0.000 2.163 2.747
Se 2.163 0.000 2.747
```

Output
Magnetic moment, μB per cell: 0.0
Relative energy among the computed polymorphs, eV per formula unit: 1.57
Uncorrected formation energy, eV/atom: 0.09

***

(18)
First-principles (GGA-PBE) data for an optimized crystal structure of Cs2In2I3, as listed in Alexandria via LeMat-Bulk.

The structure in extended XYZ format:
```
7
Lattice="6.901 -3.157 0.000 6.901 3.157 0.000 -0.050 0.000 7.779" Properties=species:S:1:pos:R:3 pbc="T T T"
Cs 1.763 0.000 2.326
Cs 11.988 0.000 5.453
In 5.472 0.000 0.902
In 8.279 0.000 6.877
I 2.424 0.000 6.206
I 6.876 0.000 3.889
I 11.327 0.000 1.573
```

Output
Magnetic moment, μB per cell: 0.0
Uncorrected formation energy, eV/atom: -0.83

***

(19)
First-principles (GGA-PBE) data for an optimized crystal structure of BaCo2Tc, as listed in Alexandria via LeMat-Bulk.

The structure in extended XYZ format:
```
4
Lattice="2.076 1.198 5.776 -2.076 1.198 5.776 0.000 -2.397 5.776" Properties=species:S:1:pos:R:3 pbc="T T T"
Ba 0.000 0.000 0.000
Co 0.000 0.000 3.228
Co 0.000 0.000 14.100
Tc 0.000 0.000 8.664
```

Output
Energy of formation from the pure elements, eV per atom: 0.35
Magnetic moment, μB per cell: 1.5
Relative energy among the computed polymorphs, eV per formula unit: 0.00

***

(20)
First-principles (GGA-PBE) data for an optimized crystal structure of Na3ScCd, as listed in Alexandria via LeMat-Bulk.

The structure in extended XYZ format:
```
5
Lattice="5.634 0.000 0.000 0.000 5.634 0.000 0.000 0.000 5.634" Properties=species:S:1:pos:R:3 pbc="T T T"
Na 0.000 0.000 2.817
Na 0.000 2.817 0.000
Na 2.817 0.000 0.000
Sc 2.817 2.817 2.817
Cd 0.000 0.000 0.000
```

Output
Energy of formation from the pure elements, eV per atom: 0.56
Magnetic moment, μB per cell: 0.8
Relative energy among the computed polymorphs, eV per formula unit: 0.00

***

(21)
First-principles (GGA-PBE) data for an optimized crystal structure of PaGa2Os, as listed in Alexandria via LeMat-Bulk.

The structure in extended XYZ format:
```
4
Lattice="3.178 0.000 0.000 0.000 3.178 0.000 0.000 0.000 7.013" Properties=species:S:1:pos:R:3 pbc="T T T"
Pa 0.000 0.000 0.000
Ga 1.589 1.589 2.119
Ga 1.589 1.589 4.895
Os 0.000 0.000 3.507
```

Output
Energy of formation from the pure elements, eV per atom: -0.10
Magnetic moment, μB per cell: 1.1
Relative energy among the computed polymorphs, eV per formula unit: 1.20

***

(22)
First-principles (GGA-PBE) data for an optimized crystal structure of AcLuThCd, as listed in Alexandria via LeMat-Bulk.

The structure in extended XYZ format:
```
4
Lattice="0.000 3.968 3.968 3.968 0.000 3.968 3.968 3.968 0.000" Properties=species:S:1:pos:R:3 pbc="T T T"
Ac 0.000 0.000 0.000
Lu 5.951 5.951 5.951
Th 1.984 1.984 1.984
Cd 3.968 3.968 3.968
```

Output
Energy of formation from the pure elements, eV per atom: 0.18
Magnetic moment, μB per cell: 0.0

***

(23)
First-principles (GGA-PBE) data for an optimized crystal structure of Hf4Si2Ge, as listed in Alexandria via LeMat-Bulk.

The structure in extended XYZ format:
```
7
Lattice="-2.522 2.522 6.254 2.522 -2.522 6.254 2.522 2.522 -6.254" Properties=species:S:1:pos:R:3 pbc="T T T"
Hf 2.522 0.000 0.000
Hf 0.000 0.000 2.583
Hf 0.000 2.522 0.000
Hf 0.000 0.000 9.925
Si 0.000 0.000 5.112
Si 0.000 0.000 7.396
Ge 0.000 0.000 0.000
```

Output
Magnetic moment, μB per cell: 0.0
Uncorrected formation energy, eV/atom: 0.26

***

(24)
First-principles (GGA-PBE) data for an optimized crystal structure of Y3NbAl8, as listed in Alexandria via LeMat-Bulk.

The structure in extended XYZ format:
```
12
Lattice="2.725 1.573 8.931 -2.725 1.573 8.931 0.000 -3.146 8.931" Properties=species:S:1:pos:R:3 pbc="T T T"
Y 0.000 0.000 0.000
Y 0.000 0.000 3.376
Y 0.000 0.000 16.685
Nb 0.000 0.000 13.398
Al 0.000 -1.569 6.067
Al -1.359 0.785 6.067
Al -1.355 -0.782 10.671
Al 0.000 0.000 8.359
Al 1.359 0.785 6.067
Al 1.355 -0.782 10.671
Al 0.000 1.564 10.671
Al 0.000 0.000 21.771
```

Output
Energy of formation from the pure elements, eV per atom: -0.45
Magnetic moment, μB per cell: 0.0